Entry from the Alexandria database: crystalline Mg3Mo at its relaxed geometry (PBE-GGA).

Cell lengths 5.3510, 5.3510, 5.3510 Å; angles 90.00, 90.00, 90.00 degrees
With the nearest neighbours (Å) after each atom.
Atoms (fractional coordinates):
1 Mo 0.0000 0.0000 0.0000  12 Mg 2.99
2 Mg 0.0000 0.7500 0.5000  2 Mg 2.68, 4 Mo 2.99
3 Mg 0.0000 0.2500 0.5000  2 Mg 2.68, 4 Mo 2.99
4 Mg 0.5000 0.0000 0.2500  2 Mg 2.68, 4 Mo 2.99
5 Mg 0.5000 0.0000 0.7500  2 Mg 2.68, 4 Mo 2.99
6 Mg 0.7500 0.5000 0.0000  2 Mg 2.68, 4 Mo 2.99
7 Mo 0.5000 0.5000 0.5000  12 Mg 2.99
8 Mg 0.2500 0.5000 0.0000  2 Mg 2.68, 4 Mo 2.99

## Properties
DOS at the Fermi energy, states/eV per cell: 5.1
ΔE to the lowest computed polymorph, eV/atom: 0.324
Spin magnetization, μB/f.u.: 0.279
ΔH_f (0 K), kcal/mol of atoms: 12.0



Entry from the Alexandria database: crystalline LaBi2Pd2 at its relaxed geometry (PBE-GGA).

Cell lengths 5.0402, 5.0402, 6.1760 Å; angles 65.92, 65.92, 90.00 degrees
With the nearest neighbours (Å) after each atom.
Atoms (fractional coordinates):
1 Pd 0.6325 0.6325 0.7349  1 Pd 2.67, 4 Bi 2.78
2 La 0.0000 0.0000 0.0000  8 Bi 3.57, 10 Pd 3.71-3.81
3 Bi 0.2500 0.7500 0.5000  4 Pd 2.78
4 Bi 0.7500 0.2500 0.5000  4 Pd 2.78
5 Pd 0.3675 0.3675 0.2651  1 Pd 2.67, 4 Bi 2.78

## Properties
DOS at the Fermi energy, states/eV per cell: 4.8
Spin magnetization, μB/f.u.: 0.000
ΔH_f (0 K), kcal/mol of atoms: -12.5



Entry from the Alexandria database: crystalline ZnAuCl2 at its relaxed geometry (PBE-GGA).

Cell lengths 4.8006, 4.8006, 4.8006 Å; angles 60.00, 60.00, 60.00 degrees
With the nearest neighbours (Å) after each atom.
Atoms (fractional coordinates):
1 Au 0.5000 0.5000 0.5000  4 Zn 2.94, 4 Cl 2.94
2 Zn 0.7500 0.7500 0.7500  4 Cl 2.94, 4 Au 2.94
3 Cl 0.2500 0.2500 0.2500  4 Cl 2.94, 4 Au 2.94
4 Cl 0.0000 0.0000 0.0000  4 Cl 2.94, 4 Zn 2.94

## Properties
DOS at the Fermi energy, states/eV per cell: 3.0
ΔE to the lowest computed polymorph, eV/atom: 0.653
ΔE_f (raw), eV/atom: 0.1995
Spin magnetization, μB/f.u.: 0.000



Entry from the Alexandria database: crystalline HgTeI2N at its relaxed geometry (PBE-GGA).

Cell lengths 6.3208, 6.3208, 3.9148 Å; angles 90.00, 90.00, 90.00 degrees
With the nearest neighbours (Å) after each atom.
Atoms (fractional coordinates):
1 I 0.5000 0.0000 0.0000  2 Hg 3.16
2 I 0.0000 0.5000 0.0000  2 Hg 3.16
3 Te 0.5000 0.5000 0.5000  8 I 3.72, 2 Te 3.91
4 N 0.0000 0.0000 0.5000  2 Hg 1.96
5 Hg 0.0000 0.0000 0.0000  2 N 1.96

## Properties
DOS at the Fermi energy, states/eV per cell: 6.6
ΔE to the lowest computed polymorph, eV/atom: 0.504
ΔE_f (raw), eV/atom: 1.1262
Spin magnetization, μB/f.u.: 0.001



Entry from the Alexandria database: crystalline PuIrN2 at its relaxed geometry (PBE-GGA).

Cell lengths 3.4252, 3.4252, 5.1511 Å; angles 70.58, 70.58, 60.00 degrees
With the nearest neighbours (Å) after each atom.
Atoms (fractional coordinates):
1 Pu 0.5000 0.5000 0.5000  6 N 2.41
2 Ir 0.0000 0.0000 0.0000  6 N 2.21
3 N 0.7366 0.7366 0.7903  3 Ir 2.21, 3 Pu 2.41
4 N 0.2634 0.2634 0.2097  3 Ir 2.21, 3 Pu 2.41

## Properties
DOS at the Fermi energy, states/eV per cell: 3.2
ΔE_f (raw), eV/atom: -0.3967
Spin magnetization, μB/f.u.: 5.002



Entry from the Alexandria database: crystalline MgMo2W at its relaxed geometry (PBE-GGA).

Cell lengths 3.1590, 3.1590, 6.7460 Å; angles 90.00, 90.00, 90.00 degrees
With the nearest neighbours (Å) after each atom.
Atoms (fractional coordinates):
1 Mg 0.5000 0.5000 0.7512  4 Mo 2.91, 4 W 2.92, 4 Mg 3.16
2 Mo 0.0000 0.0000 0.0274  4 Mo 2.69, 4 Mg 2.91, 1 W 3.00
3 Mo 0.5000 0.5000 0.2491  4 Mo 2.69, 4 W 2.69
4 W 0.0000 0.0000 0.4723  5 Mo 2.69-3.00, 4 Mg 2.92

## Properties
DOS at the Fermi energy, states/eV per cell: 4.0
Spin magnetization, μB/f.u.: 0.000
ΔH_f (0 K), kcal/mol of atoms: 9.0



Entry from the Alexandria database: crystalline BeBi4Sb2 at its relaxed geometry (PBE-GGA).

Cell lengths 5.0421, 5.0421, 8.9503 Å; angles 73.64, 73.64, 90.00 degrees
With the nearest neighbours (Å) after each atom.
Atoms (fractional coordinates):
1 Be 0.0000 0.0000 0.0000  6 Bi 2.52-2.71
2 Bi 0.1652 0.1652 0.6697  1 Be 2.71
3 Bi 0.8348 0.8348 0.3303  1 Be 2.71
4 Bi 0.0000 0.5000 0.0000  2 Be 2.52
5 Sb 0.3573 0.3573 0.2854  5 Bi 3.15-3.44
6 Bi 0.5000 0.0000 0.0000  2 Be 2.52
7 Sb 0.6427 0.6427 0.7146  5 Bi 3.15-3.44

## Properties
DOS at the Fermi energy, states/eV per cell: 4.4
ΔE_f (raw), eV/atom: 0.3951
Spin magnetization, μB/f.u.: 0.000



Entry from the Alexandria database: crystalline V2Cr5Mo at its relaxed geometry (PBE-GGA).

Cell lengths 2.7826, 6.5430, 6.5430 Å; angles 63.39, 77.72, 77.72 degrees
With the nearest neighbours (Å) after each atom.
Atoms (fractional coordinates):
1 Cr 0.3697 0.4146 0.8459  3 V 2.25-2.51, 2 Cr 2.47
2 V 0.2661 0.2339 0.2339  6 Cr 2.25-2.51
3 Cr 0.3697 0.8459 0.4146  3 V 2.25-2.51, 2 Cr 2.47
4 Cr 0.0000 0.5000 0.5000  8 Cr 2.47
5 V 0.7339 0.7661 0.7661  6 Cr 2.25-2.51
6 Cr 0.6303 0.1541 0.5854  3 V 2.25-2.51, 2 Cr 2.47
7 Mo 0.0000 0.0000 0.0000  8 Cr 2.78, 2 Mo 2.78, 4 V 2.88
8 Cr 0.6303 0.5854 0.1541  3 V 2.25-2.51, 2 Cr 2.47

## Properties
DOS at the Fermi energy, states/eV per cell: 8.7
Spin magnetization, μB/f.u.: 0.002
ΔH_f (0 K), kcal/mol of atoms: 7.3



Entry from the Alexandria database: crystalline Rb2NaSi2 at its relaxed geometry (PBE-GGA).

Cell lengths 8.4273, 8.4273, 5.3961 Å; angles 90.00, 90.00, 90.00 degrees
With the nearest neighbours (Å) after each atom.
Atoms (fractional coordinates):
1 Si 0.9075 0.5925 0.0000  1 Si 2.20
2 Si 0.0925 0.4075 0.0000  1 Si 2.20
3 Rb 0.1903 0.6903 0.5000  6 Si 3.69-3.74, 4 Na 4.08
4 Si 0.5925 0.0925 0.0000  1 Si 2.20
5 Na 0.0000 0.0000 0.0000  4 Si 3.52
6 Rb 0.6903 0.8097 0.5000  6 Si 3.69-3.74, 4 Na 4.08
7 Rb 0.8097 0.3097 0.5000  6 Si 3.69-3.74, 4 Na 4.08
8 Rb 0.3097 0.1903 0.5000  6 Si 3.69-3.74, 4 Na 4.08
9 Si 0.4075 0.9075 0.0000  1 Si 2.20
10 Na 0.5000 0.5000 0.0000  4 Si 3.52

## Properties
DOS at the Fermi energy, states/eV per cell: 5.8
ΔE_f (raw), eV/atom: 0.2003
Spin magnetization, μB/f.u.: 0.001



Entry from the Alexandria database: crystalline InNiSe2 at its relaxed geometry (PBE-GGA).

Cell lengths 3.6198, 3.6198, 6.5426 Å; angles 90.00, 90.00, 90.00 degrees
With the nearest neighbours (Å) after each atom.
Atoms (fractional coordinates):
1 Se 0.5000 0.5000 0.2824  1 Ni 2.43
2 Se 0.0000 0.0000 0.8569  4 Ni 2.58, 1 In 2.67
3 In 0.0000 0.0000 0.4493  5 Se 2.67-2.78
4 Ni 0.5000 0.5000 0.9115  5 Se 2.43-2.58

## Properties
DOS at the Fermi energy, states/eV per cell: 3.4
ΔE_f (raw), eV/atom: -0.1615
Spin magnetization, μB/f.u.: 0.559



Entry from the Alexandria database: crystalline K2Cd12In7 at its relaxed geometry (PBE-GGA).

Cell lengths 5.1314, 11.3993, 11.3993 Å; angles 120.00, 90.00, 90.00 degrees
With the nearest neighbours (Å) after each atom.
Atoms (fractional coordinates):
1 Cd 0.2095 0.4344 0.3937  4 In 2.97-3.28, 3 Cd 3.02-3.29
2 Cd 0.7905 0.3937 0.9593  4 In 2.97-3.28, 3 Cd 3.02-3.29
3 Cd 0.7905 0.0407 0.4344  4 In 2.97-3.28, 3 Cd 3.02-3.29
4 Cd 0.8253 0.2578 0.1327  4 In 3.04-3.08, 4 Cd 3.07-3.29
5 K 0.2092 0.3333 0.6667  6 In 3.67-3.89, 9 Cd 3.73-4.04
6 Cd 0.1747 0.1251 0.2578  4 In 3.04-3.08, 4 Cd 3.07-3.29
7 Cd 0.2095 0.6063 0.0407  4 In 2.97-3.28, 3 Cd 3.02-3.29
8 Cd 0.8253 0.8673 0.1251  4 In 3.04-3.08, 4 Cd 3.07-3.29
9 In 0.5000 0.0000 0.0000  6 Cd 3.04
10 In 0.6781 0.1227 0.7224  7 Cd 2.97-3.28
11 Cd 0.1747 0.7422 0.8673  4 In 3.04-3.08, 4 Cd 3.07-3.29
12 Cd 0.2095 0.9593 0.5656  4 In 2.97-3.28, 3 Cd 3.02-3.29
13 In 0.3219 0.7224 0.5997  7 Cd 2.97-3.28
14 K 0.7908 0.6667 0.3333  6 In 3.67-3.89, 9 Cd 3.73-4.04
15 Cd 0.7905 0.5656 0.6063  4 In 2.97-3.28, 3 Cd 3.02-3.29
16 Cd 0.8253 0.8749 0.7422  4 In 3.04-3.08, 4 Cd 3.07-3.29
17 In 0.6781 0.2776 0.4003  7 Cd 2.97-3.28
18 Cd 0.1747 0.1327 0.8749  4 In 3.04-3.08, 4 Cd 3.07-3.29
19 In 0.6781 0.5997 0.8773  7 Cd 2.97-3.28
20 In 0.3219 0.8773 0.2776  7 Cd 2.97-3.28
21 In 0.3219 0.4003 0.1227  7 Cd 2.97-3.28

## Properties
DOS at the Fermi energy, states/eV per cell: 8.3
Spin magnetization, μB/f.u.: 0.000
ΔH_f (0 K), kcal/mol of atoms: -0.5



Entry from the Alexandria database: crystalline Ni2OsRh8 at its relaxed geometry (PBE-GGA).

Cell lengths 3.9680, 6.4091, 6.4091 Å; angles 104.85, 90.00, 90.00 degrees
With the nearest neighbours (Å) after each atom.
Atoms (fractional coordinates):
1 Rh 0.5000 0.7438 0.2562  2 Ni 2.38, 1 Os 2.60
2 Rh 0.5000 0.2562 0.7438  2 Ni 2.38, 1 Os 2.60
3 Rh 0.0000 0.0384 0.2995  1 Ni 2.59, 7 Rh 2.64-2.74, 2 Os 2.73
4 Rh 0.0000 0.9616 0.7005  1 Ni 2.59, 7 Rh 2.64-2.74, 2 Os 2.73
5 Rh 0.0000 0.2995 0.0384  1 Ni 2.59, 7 Rh 2.64-2.74, 2 Os 2.73
6 Rh 0.5000 0.6647 0.6647  7 Rh 2.58-2.79, 1 Os 2.62, 4 Ni 2.63
7 Rh 0.5000 0.3353 0.3353  7 Rh 2.58-2.79, 1 Os 2.62, 4 Ni 2.63
8 Os 0.5000 0.0000 0.0000  12 Rh 2.60-2.73
9 Ni 0.0000 0.6137 0.3863  1 Ni 2.31, 2 Rh 2.38
10 Rh 0.0000 0.7005 0.9616  1 Ni 2.59, 7 Rh 2.64-2.74, 2 Os 2.73
11 Ni 0.0000 0.3863 0.6137  1 Ni 2.31, 2 Rh 2.38

## Properties
DOS at the Fermi energy, states/eV per cell: 14.4
Spin magnetization, μB/f.u.: 0.000
ΔH_f (0 K), kcal/mol of atoms: 5.0